# PBEsol KZr2Ni, relaxed
# Energy relative to the lowest polymorph listed for this composition ... 0.084 eV per atom
# V ... 106.09 Å³/f.u.
# DOS(E_F) ... 5.36 states/eV/f.u.
# Spin magnetization ... 0.0 μB per cell
# ΔH_f (0 K) ... 142 kJ/mol of formula units
data_KZr2Ni
_chemical_formula_sum 'K3 Zr6 Ni3'
_symmetry_space_group_name_H-M 'R -3 m'
_symmetry_Int_Tables_number 166
_symmetry_space_group_name_Hall '-R 3 2"'
_cell_length_a 3.4884
_cell_length_b 3.4884
_cell_length_c 30.2009
_cell_angle_alpha 90.00
_cell_angle_beta 90.00
_cell_angle_gamma 120.00
loop_
_atom_site_label
_atom_site_fract_x
_atom_site_fract_y
_atom_site_fract_z
K1 0.0000 0.0000 0.0000
Zr1 0.0000 0.0000 0.2166
Ni1 0.0000 0.0000 0.5000